Entry 1:
A relaxed structure of ScCd2Re. Source: the Alexandria database, functional GGA-PBE.

Values from the calculation:
Calculated volume = 18.65 Å³/atom
VASP energy = -19.94 eV for the cell shown
Excess energy over the best structure of this formula in the dataset = 11 meV per atom
Energy of formation = 16.1 kJ/mol of atoms

a b c (Å): 5.3536 5.3536 5.3536
angles (deg): 135.48 135.28 64.94
Closest atoms and distances in Å follow each position.
Positions (direct):
Sc 0.0000 0.0000 0.0000  4 Re 2.87, 8 Cd 3.04
Cd 0.2502 0.7502 0.5000  4 Cd 2.87, 4 Re 3.03-3.04, 4 Sc 3.04
Cd 0.7498 0.2498 0.5000  4 Cd 2.87, 4 Re 3.03-3.04, 4 Sc 3.04
Re 0.5000 0.5000 0.0000  4 Sc 2.87, 8 Cd 3.03-3.04


Entry 2:
A relaxed structure of Sc2CdRe. Source: the Alexandria database, functional GGA-PBE.

Values from the calculation:
Calculated volume = 20.56 Å³/atom
VASP energy = -25.93 eV for the cell shown
Energy of formation = 2.3 kJ/mol of atoms

a b c (Å): 9.3926 9.3926 9.3926
angles (deg): 19.69 19.69 19.69
Closest atoms and distances in Å follow each position.
Positions (direct):
Sc 0.2382 0.2382 0.2382  3 Re 2.71
Sc 0.7618 0.7618 0.7618  3 Re 2.71
Cd 0.0000 0.0000 0.0000  6 Cd 3.21, 6 Sc 3.22
Re 0.5000 0.5000 0.5000  6 Sc 2.71


Entry 3:
A relaxed structure of ScCd2Re. Source: the Alexandria database, functional GGA-PBE.

Values from the calculation:
Calculated volume = 19.00 Å³/atom
VASP energy = -19.66 eV for the cell shown
Excess energy over the best structure of this formula in the dataset = 81 meV per atom
Energy of formation = 22.9 kJ/mol of atoms

a b c (Å): 5.3168 5.3168 5.1287
angles (deg): 98.74 98.74 32.06
Closest atoms and distances in Å follow each position.
Positions (direct):
Sc 0.0000 0.0000 0.0000  2 Sc 2.94, 4 Re 2.95, 6 Cd 3.00-3.12
Cd 0.2425 0.2425 0.7396  6 Cd 2.89-3.03, 3 Re 2.97-3.08, 3 Sc 3.00-3.12
Cd 0.7575 0.7575 0.2604  6 Cd 2.89-3.03, 3 Re 2.97-3.08, 3 Sc 3.00-3.12
Re 0.5000 0.5000 0.5000  2 Re 2.94, 4 Sc 2.95, 6 Cd 2.97-3.08


Entry 4:
A relaxed structure of ScCd2Re. Source: the Alexandria database, functional GGA-PBE.

Values from the calculation:
Calculated volume = 19.86 Å³/atom
VASP energy = -19.64 eV for the cell shown
Excess energy over the best structure of this formula in the dataset = 86 meV per atom
Energy of formation = 23.3 kJ/mol of atoms

a b c (Å): 9.7931 9.7931 9.7931
angles (deg): 18.13 18.13 18.13
Closest atoms and distances in Å follow each position.
Positions (direct):
Sc 0.0000 0.0000 0.0000  3 Re 2.71
Cd 0.5148 0.5148 0.5148  3 Re 2.95, 9 Cd 3.09-3.17
Cd 0.7572 0.7572 0.7572  9 Cd 3.09-3.17, 3 Sc 3.17
Re 0.2626 0.2626 0.2626  3 Sc 2.71, 3 Cd 2.95


Entry 5:
A relaxed structure of Sc2CdRe. Source: the Alexandria database, functional GGA-PBE.

Values from the calculation:
Calculated volume = 19.04 Å³/atom
VASP energy = -25.19 eV for the cell shown
Energy of formation = 20.2 kJ/mol of atoms

a b c (Å): 4.7581 4.7581 4.7581
angles (deg): 60.00 60.00 60.00
Closest atoms and distances in Å follow each position.
Positions (direct):
Sc 0.0000 0.0000 0.0000  4 Cd 2.91, 4 Sc 2.91
Sc 0.2500 0.2500 0.2500  4 Re 2.91, 4 Sc 2.91
Cd 0.7500 0.7500 0.7500  4 Re 2.91, 4 Sc 2.91
Re 0.5000 0.5000 0.5000  4 Cd 2.91, 4 Sc 2.91


Entry 6:
A relaxed structure of ScCd2Re. Source: the Alexandria database, functional GGA-PBE.

Values from the calculation:
Calculated volume = 18.90 Å³/atom
VASP energy = -19.16 eV for the cell shown
Excess energy over the best structure of this formula in the dataset = 207 meV per atom
Energy of formation = 35.0 kJ/mol of atoms

a b c (Å): 4.7464 4.7464 4.7464
angles (deg): 60.00 60.00 60.00
Closest atoms and distances in Å follow each position.
Positions (direct):
Sc 0.0000 0.0000 0.0000  8 Cd 2.91
Cd 0.2500 0.2500 0.2500  4 Re 2.91, 4 Sc 2.91
Cd 0.7500 0.7500 0.7500  4 Re 2.91, 4 Sc 2.91
Re 0.5000 0.5000 0.5000  8 Cd 2.91


Entry 7:
A relaxed structure of Sc3CdRe. Source: the Alexandria database, functional GGA-PBE.

Values from the calculation:
Calculated volume = 26.33 Å³/atom
VASP energy = -25.61 eV for the cell shown
Excess energy over the best structure of this formula in the dataset = 1128 meV per atom
Energy of formation = 130.3 kJ/mol of atoms

a b c (Å): 5.0870 5.0870 5.0870
angles (deg): 90.00 90.00 90.00
Closest atoms and distances in Å follow each position.
Positions (direct):
Sc 0.0000 0.0000 0.5000  2 Cd 2.54
Sc 0.0000 0.5000 0.0000  2 Cd 2.54
Sc 0.5000 0.0000 0.0000  2 Cd 2.54
Cd 0.0000 0.0000 0.0000  6 Sc 2.54
Re 0.5000 0.5000 0.5000  12 Sc 3.60


Entry 8:
A relaxed structure of Sc2CdRe. Source: the Alexandria database, functional GGA-PBE.

Values from the calculation:
Calculated volume = 19.81 Å³/atom
VASP energy = -26.40 eV for the cell shown
Energy of formation = -9.0 kJ/mol of atoms

a b c (Å): 3.0056 3.0056 9.1258
angles (deg): 90.00 90.00 106.06
Closest atoms and distances in Å follow each position.
Positions (direct):
Sc 0.0000 0.0000 0.2191  2 Re 2.70, 4 Sc 3.01
Sc 0.0000 0.0000 0.7809  2 Re 2.70, 4 Sc 3.01
Cd 0.5000 0.5000 0.5000  4 Cd 3.01, 4 Sc 3.14
Re 0.5000 0.5000 0.0000  4 Sc 2.70, 4 Re 3.01


Entry 9:
A relaxed structure of ScCd2Re. Source: the Alexandria database, functional GGA-PBE.

Values from the calculation:
Calculated volume = 19.30 Å³/atom
VASP energy = -19.99 eV for the cell shown
Excess energy over the best structure of this formula in the dataset = 0 meV per atom
Energy of formation = 15.1 kJ/mol of atoms

a b c (Å): 2.9156 2.9156 9.4779
angles (deg): 90.00 90.00 106.59
Closest atoms and distances in Å follow each position.
Positions (direct):
Sc 0.0000 0.0000 0.0000  2 Re 2.69, 4 Sc 2.92
Cd 0.0000 0.0000 0.5397  2 Re 2.89, 6 Cd 2.92-3.09
Cd 0.5000 0.5000 0.2702  6 Cd 2.92-3.09, 2 Sc 3.10
Re 0.5000 0.5000 0.7836  2 Sc 2.69, 2 Cd 2.89, 4 Re 2.92


Entry 10:
A relaxed structure of ScCd2Re. Source: the Alexandria database, functional GGA-PBE.

Values from the calculation:
Calculated volume = 19.12 Å³/atom
VASP energy = -19.06 eV for the cell shown
Excess energy over the best structure of this formula in the dataset = 232 meV per atom
Energy of formation = 37.5 kJ/mol of atoms

a b c (Å): 10.3212 10.3212 10.3212
angles (deg): 16.41 16.41 16.41
Closest atoms and distances in Å follow each position.
Positions (direct):
Sc 0.0000 0.0000 0.0000  6 Sc 2.95, 6 Cd 3.17
Cd 0.2456 0.2456 0.2456  6 Cd 2.95, 3 Re 2.95, 3 Sc 3.17
Cd 0.7544 0.7544 0.7544  6 Cd 2.95, 3 Re 2.95, 3 Sc 3.17
Re 0.5000 0.5000 0.5000  6 Re 2.95, 6 Cd 2.95


Entry 11:
A relaxed structure of Sc4CdRe. Source: the Alexandria database, functional GGA-PBE.

Values from the calculation:
Calculated volume = 20.34 Å³/atom
VASP energy = -35.78 eV for the cell shown
Energy of formation = 46.8 kJ/mol of atoms

a b c (Å): 5.5677 5.5677 5.5677
angles (deg): 60.00 60.00 60.00
Closest atoms and distances in Å follow each position.
Positions (direct):
Sc 0.3774 0.3774 0.3774  6 Sc 2.73-2.84
Sc 0.3774 0.3774 0.8677  6 Sc 2.73-2.84
Sc 0.3774 0.8677 0.3774  6 Sc 2.73-2.84
Sc 0.8677 0.3774 0.3774  6 Sc 2.73-2.84
Cd 0.0000 0.0000 0.0000  12 Sc 3.27, 4 Re 3.41
Re 0.7500 0.7500 0.7500  12 Sc 3.26, 4 Cd 3.41


Entry 12:
A relaxed structure of ScCd2Re. Source: the Alexandria database, functional GGA-PBE.

Values from the calculation:
Calculated volume = 18.94 Å³/atom
VASP energy = -19.19 eV for the cell shown
Excess energy over the best structure of this formula in the dataset = 199 meV per atom
Energy of formation = 34.2 kJ/mol of atoms

a b c (Å): 2.8774 2.8774 9.1504
angles (deg): 90.00 90.00 90.00
Closest atoms and distances in Å follow each position.
Positions (direct):
Sc 0.0000 0.0000 0.0000  4 Sc 2.88, 8 Cd 3.14
Cd 0.5000 0.5000 0.2615  4 Cd 2.88, 4 Re 2.98, 4 Sc 3.14
Cd 0.5000 0.5000 0.7385  4 Cd 2.88, 4 Re 2.98, 4 Sc 3.14
Re 0.0000 0.0000 0.5000  4 Re 2.88, 8 Cd 2.98